Below is crystalline Ti2Te2C at its relaxed geometry, with properties calculated at the GGA-PBE level.

Unit cell a=3.312 b=3.312 c=10.539 alpha=90.00 beta=90.00 gamma=120.00
Sites, in units of the cell vectors:
Ti 0.667 0.333 0.896
Ti 0.333 0.667 0.104
Te 0.667 0.333 0.303
C 0.000 0.000 0.000
Te 0.333 0.667 0.697

Properties
* space group: P-3m1 (164)
* formation energy from raw total energies: -64 kJ/mol of atoms
* energy: -0.2543 hartree per atom